1.
# AcPr2Y2 (PBE, optimized geometry)
# symmetry: Fddd (70)
data_AcPr2Y2
_chemical_formula_sum 'Ac2 Pr4 Y4'
_space_group_name_H-M_alt 'P 1'
_space_group_IT_number 1
_space_group_name_Hall 'P 1'
_cell_length_a 13.353
_cell_length_b 12.273
_cell_length_c 6.674
_cell_angle_alpha 84.10
_cell_angle_beta 66.09
_cell_angle_gamma 29.81
loop_
_atom_site_label
_atom_site_type_symbol
_atom_site_fract_x
_atom_site_fract_y
_atom_site_fract_z
_atom_site_occupancy
Ac1 Ac 0.125 0.125 0.125 1
Ac2 Ac 0.875 0.875 0.875 1
Pr1 Pr 0.196 0.554 0.196 1
Pr2 Pr 0.446 0.804 0.446 1
Pr3 Pr 0.554 0.196 0.554 1
Pr4 Pr 0.804 0.446 0.804 1
Y1 Y 0.000 0.000 0.000 1
Y2 Y 0.000 0.000 0.500 1
Y3 Y 0.000 0.500 0.000 1
Y4 Y 0.500 0.000 0.000 1

---

2.
# AcPr3Y8 (PBE, optimized geometry)
# symmetry: Immm (71)
data_AcPr3Y8
_chemical_formula_sum 'Ac1 Pr3 Y8'
_space_group_name_H-M_alt 'P 1'
_space_group_IT_number 1
_space_group_name_Hall 'P 1'
_cell_length_a 8.905
_cell_length_b 8.905
_cell_length_c 8.905
_cell_angle_alpha 137.50
_cell_angle_beta 98.03
_cell_angle_gamma 97.06
loop_
_atom_site_label
_atom_site_type_symbol
_atom_site_fract_x
_atom_site_fract_y
_atom_site_fract_z
_atom_site_occupancy
Ac1 Ac 0.000 0.000 0.000 1
Pr1 Pr 0.256 0.500 0.756 1
Pr2 Pr 0.500 0.000 0.500 1
Pr3 Pr 0.744 0.500 0.244 1
Y1 Y 0.076 0.825 0.251 1
Y2 Y 0.258 0.011 0.753 1
Y3 Y 0.258 0.505 0.247 1
Y4 Y 0.426 0.175 0.251 1
Y5 Y 0.574 0.825 0.749 1
Y6 Y 0.742 0.495 0.753 1
Y7 Y 0.742 0.989 0.247 1
Y8 Y 0.924 0.175 0.749 1

---

3.
# AcPr7Y3 (PBE, optimized geometry)
# symmetry: P3m1 (156)
data_AcPr7Y3
_chemical_formula_sum 'Ac1 Pr7 Y3'
_space_group_name_H-M_alt 'P 1'
_space_group_IT_number 1
_space_group_name_Hall 'P 1'
_cell_length_a 7.357
_cell_length_b 7.357
_cell_length_c 8.830
_cell_angle_alpha 90.00
_cell_angle_beta 90.00
_cell_angle_gamma 120.00
loop_
_atom_site_label
_atom_site_type_symbol
_atom_site_fract_x
_atom_site_fract_y
_atom_site_fract_z
_atom_site_occupancy
Ac1 Ac 0.000 0.000 0.000 1
Pr1 Pr 0.000 0.500 0.981 1
Pr2 Pr 0.168 0.336 0.335 1
Pr3 Pr 0.168 0.832 0.335 1
Pr4 Pr 0.500 0.000 0.981 1
Pr5 Pr 0.500 0.500 0.981 1
Pr6 Pr 0.664 0.832 0.335 1
Pr7 Pr 0.667 0.333 0.315 1
Y1 Y 0.336 0.168 0.655 1
Y2 Y 0.832 0.168 0.655 1
Y3 Y 0.832 0.664 0.655 1

---

4.
# Ac2Pr4Y5 (PBE, optimized geometry)
# symmetry: C2/m (12)
data_Ac2Pr4Y5
_chemical_formula_sum 'Ac2 Pr4 Y5'
_space_group_name_H-M_alt 'P 1'
_space_group_IT_number 1
_space_group_name_Hall 'P 1'
_cell_length_a 9.756
_cell_length_b 9.756
_cell_length_c 11.067
_cell_angle_alpha 93.49
_cell_angle_beta 93.49
_cell_angle_gamma 21.96
loop_
_atom_site_label
_atom_site_type_symbol
_atom_site_fract_x
_atom_site_fract_y
_atom_site_fract_z
_atom_site_occupancy
Ac1 Ac 0.093 0.093 0.452 1
Ac2 Ac 0.907 0.907 0.548 1
Pr1 Pr 0.182 0.182 0.911 1
Pr2 Pr 0.453 0.453 0.265 1
Pr3 Pr 0.547 0.547 0.735 1
Pr4 Pr 0.818 0.818 0.089 1
Y1 Y 0.000 0.000 0.000 1
Y2 Y 0.270 0.270 0.359 1
Y3 Y 0.363 0.363 0.826 1
Y4 Y 0.637 0.637 0.174 1
Y5 Y 0.730 0.730 0.641 1

---

5.
# AcPr5Y (PBE, optimized geometry)
# symmetry: C2/c (15)
data_AcPr5Y
_chemical_formula_sum 'Ac2 Pr10 Y2'
_space_group_name_H-M_alt 'P 1'
_space_group_IT_number 1
_space_group_name_Hall 'P 1'
_cell_length_a 6.833
_cell_length_b 6.833
_cell_length_c 11.928
_cell_angle_alpha 102.22
_cell_angle_beta 102.22
_cell_angle_gamma 97.27
loop_
_atom_site_label
_atom_site_type_symbol
_atom_site_fract_x
_atom_site_fract_y
_atom_site_fract_z
_atom_site_occupancy
Ac1 Ac 0.000 0.500 0.000 1
Ac2 Ac 0.500 0.000 0.500 1
Pr1 Pr 0.068 0.275 0.534 1
Pr2 Pr 0.083 0.917 0.250 1
Pr3 Pr 0.275 0.068 0.034 1
Pr4 Pr 0.303 0.447 0.332 1
Pr5 Pr 0.447 0.303 0.832 1
Pr6 Pr 0.553 0.697 0.168 1
Pr7 Pr 0.697 0.553 0.668 1
Pr8 Pr 0.725 0.932 0.966 1
Pr9 Pr 0.917 0.083 0.750 1
Pr10 Pr 0.932 0.725 0.466 1
Y1 Y 0.257 0.743 0.750 1
Y2 Y 0.743 0.257 0.250 1

---

6.
# AcPr2Y5 (PBE, optimized geometry)
# symmetry: Pbam (55)
data_AcPr2Y5
_chemical_formula_sum 'Ac2 Pr4 Y10'
_space_group_name_H-M_alt 'P 1'
_space_group_IT_number 1
_space_group_name_Hall 'P 1'
_cell_length_a 7.301
_cell_length_b 14.626
_cell_length_c 5.187
_cell_angle_alpha 90.00
_cell_angle_beta 90.00
_cell_angle_gamma 90.00
loop_
_atom_site_label
_atom_site_type_symbol
_atom_site_fract_x
_atom_site_fract_y
_atom_site_fract_z
_atom_site_occupancy
Ac1 Ac 0.000 0.000 0.000 1
Ac2 Ac 0.500 0.500 0.000 1
Pr1 Pr 0.243 0.372 0.500 1
Pr2 Pr 0.257 0.872 0.500 1
Pr3 Pr 0.743 0.128 0.500 1
Pr4 Pr 0.757 0.628 0.500 1
Y1 Y 0.000 0.500 0.000 1
Y2 Y 0.006 0.747 0.000 1
Y3 Y 0.248 0.127 0.500 1
Y4 Y 0.252 0.627 0.500 1
Y5 Y 0.494 0.247 0.000 1
Y6 Y 0.500 0.000 0.000 1
Y7 Y 0.506 0.753 0.000 1
Y8 Y 0.748 0.373 0.500 1
Y9 Y 0.752 0.873 0.500 1
Y10 Y 0.994 0.253 0.000 1

---

7.
# Ac2Pr3Y (PBE, optimized geometry)
# symmetry: Pnnm (58)
data_Ac2Pr3Y
_chemical_formula_sum 'Ac4 Pr6 Y2'
_space_group_name_H-M_alt 'P 1'
_space_group_IT_number 1
_space_group_name_Hall 'P 1'
_cell_length_a 7.328
_cell_length_b 10.397
_cell_length_c 6.011
_cell_angle_alpha 90.00
_cell_angle_beta 90.00
_cell_angle_gamma 90.00
loop_
_atom_site_label
_atom_site_type_symbol
_atom_site_fract_x
_atom_site_fract_y
_atom_site_fract_z
_atom_site_occupancy
Ac1 Ac 0.248 0.166 0.000 1
Ac2 Ac 0.252 0.666 0.500 1
Ac3 Ac 0.748 0.334 0.500 1
Ac4 Ac 0.752 0.834 0.000 1
Pr1 Pr 0.000 0.500 0.000 1
Pr2 Pr 0.250 0.332 0.500 1
Pr3 Pr 0.250 0.832 0.000 1
Pr4 Pr 0.500 0.000 0.500 1
Pr5 Pr 0.750 0.168 0.000 1
Pr6 Pr 0.750 0.668 0.500 1
Y1 Y 0.000 0.000 0.500 1
Y2 Y 0.500 0.500 0.000 1

---

8.
# Ac15Pr4Y (PBE, optimized geometry)
# symmetry: P4/mmm (123)
data_Ac15Pr4Y
_chemical_formula_sum 'Ac15 Pr4 Y1'
_space_group_name_H-M_alt 'P 1'
_space_group_IT_number 1
_space_group_name_Hall 'P 1'
_cell_length_a 5.550
_cell_length_b 5.550
_cell_length_c 27.636
_cell_angle_alpha 90.00
_cell_angle_beta 90.00
_cell_angle_gamma 90.00
loop_
_atom_site_label
_atom_site_type_symbol
_atom_site_fract_x
_atom_site_fract_y
_atom_site_fract_z
_atom_site_occupancy
Ac1 Ac 0.000 0.000 0.000 1
Ac2 Ac 0.000 0.000 0.199 1
Ac3 Ac 0.000 0.000 0.400 1
Ac4 Ac 0.000 0.000 0.600 1
Ac5 Ac 0.000 0.000 0.801 1
Ac6 Ac 0.000 0.500 0.099 1
Ac7 Ac 0.000 0.500 0.299 1
Ac8 Ac 0.000 0.500 0.500 1
Ac9 Ac 0.000 0.500 0.701 1
Ac10 Ac 0.000 0.500 0.901 1
Ac11 Ac 0.500 0.000 0.099 1
Ac12 Ac 0.500 0.000 0.299 1
Ac13 Ac 0.500 0.000 0.500 1
Ac14 Ac 0.500 0.000 0.701 1
Ac15 Ac 0.500 0.000 0.901 1
Pr1 Pr 0.500 0.500 0.199 1
Pr2 Pr 0.500 0.500 0.400 1
Pr3 Pr 0.500 0.500 0.600 1
Pr4 Pr 0.500 0.500 0.801 1
Y1 Y 0.500 0.500 0.000 1

---

How do the records compare in E_tot? In the order shown, they have -47.91; -66.55; -54.85; -59.34; -67.79; -91.49; -56.98; -86.75 eV/cell.
How do the records compare in ΔH_f (0 K)? In the order shown, they have 528; 301; 192; 29; 82; 30; 88; 23 meV/atom.